Compound: AgPd2Au4
Source: Alexandria via LeMat-Bulk
Functional: PBE
Structure: relaxed

```
14
Lattice="5.6854 0.0000 0.0000 2.8402 6.9803 0.0000 2.8200 2.3789 6.5817" Properties=species:S:1:pos:R:3 pbc="T T T"
Ag 0.0000 0.0000 0.0000
Ag 5.6327 2.3781 6.5790
Pd 2.8393 4.6769 3.2933
Pd 5.6351 4.6797 3.2851
Pd 7.0685 4.7445 5.7502
Pd 7.0832 7.0052 2.5099
Au 4.2295 4.6722 5.7039
Au 4.2404 6.9417 2.4567
Au 5.6901 7.0769 4.9714
Au 2.8764 2.3833 1.6754
Au 5.6177 2.3821 1.6699
Au 8.4616 7.0749 4.9698
Au 7.0777 2.4267 4.1190
Au 7.0912 4.6880 0.8797
```

Computed properties:
symmetry: No. 1
DFT formation energy: 0.04 eV/atom
energy above the most stable polymorph in this dataset: 0.07 eV/f.u.
E: -3.7277 eV per atom

=====

Compound: Ag6Pd3Au
Source: Alexandria via LeMat-Bulk
Functional: PBE
Structure: relaxed

```
20
Lattice="4.4373 -8.0379 0.0000 4.4373 8.0379 0.0000 0.0000 0.0000 5.0352" Properties=species:S:1:pos:R:3 pbc="T T T"
Ag 2.1335 3.2423 4.5659
Ag 4.4373 7.1183 2.5176
Ag 2.9946 0.6939 0.5020
Ag 4.4373 3.1499 1.1196
Ag 2.9946 -0.6939 3.0196
Ag 2.1335 -3.2423 2.0483
Ag 6.7410 3.2423 4.5659
Ag 5.8800 0.6939 0.5020
Ag 4.4373 -3.1499 3.6371
Ag 5.8800 -0.6939 3.0196
Ag 4.4373 -7.1183 0.0000
Ag 6.7410 -3.2423 2.0483
Pd 1.4153 1.5640 2.5703
Pd 1.4153 -1.5640 0.0527
Pd 4.4373 1.7277 3.3721
Pd 4.4373 -1.7277 0.8545
Pd 7.4592 1.5640 2.5703
Pd 7.4592 -1.5640 0.0527
Au 4.4373 4.5391 3.7288
Au 4.4373 -4.5391 1.2112
```

Computed properties:
symmetry: No. 36
DFT formation energy: 0.08 eV/atom
energy above the most stable polymorph in this dataset: 0.00 eV/f.u.
E: -3.5119 eV per atom

=====

Compound: Ag2Pd3Au7
Source: Alexandria via LeMat-Bulk
Functional: PBE
Structure: relaxed

```
12
Lattice="2.4039 -15.4425 0.0000 2.4039 15.4425 0.0000 0.0000 0.0000 2.8996" Properties=species:S:1:pos:R:3 pbc="T T T"
Ag 2.4039 10.0260 0.0000
Ag 2.4039 -10.0260 0.0000
Pd 2.4039 4.6855 1.4498
Pd 2.4039 0.0000 1.4498
Pd 2.4039 -4.6855 1.4498
Au 0.0000 0.0000 0.0000
Au 2.4039 12.6360 1.4498
Au 2.4039 7.0593 0.0000
Au 2.4039 2.3310 0.0000
Au 2.4039 -2.3310 0.0000
Au 2.4039 -7.0593 0.0000
Au 2.4039 -12.6360 1.4498
```

Computed properties:
symmetry: No. 65
DFT formation energy: 0.01 eV/atom
energy above the most stable polymorph in this dataset: 0.26 eV/f.u.
E: -3.6754 eV per atom

=====

Compound: Ag12Pd7Au2
Source: Alexandria via LeMat-Bulk
Functional: PBE
Structure: relaxed

```
21
Lattice="12.1875 0.0000 0.0000 -6.0938 10.5547 0.0000 0.0000 0.0000 2.8103" Properties=species:S:1:pos:R:3 pbc="T T T"
Ag -0.9092 2.6321 0.0000
Ag -2.7781 7.4953 1.4051
Ag -3.3597 10.0261 0.0000
Ag 0.9917 4.4011 1.4051
Ag 4.1701 1.5856 1.4051
Ag 3.6207 4.1983 0.0000
Ag 1.7864 9.2130 1.4051
Ag 6.7414 1.0364 0.0000
Ag 5.3819 6.1505 1.4051
Ag 4.2689 8.4513 0.0000
Ag 8.7293 2.8186 1.4051
Ag 7.9193 5.3200 0.0000
Pd -1.6897 5.0137 1.4051
Pd 1.7307 2.0154 0.0000
Pd -0.9069 9.5112 1.4051
Pd 2.5966 6.5845 1.4051
Pd 6.0938 3.5182 1.4051
Pd 9.5768 0.4911 0.0000
Pd 6.9738 8.0482 0.0000
Au 0.0000 0.0000 1.4051
Au 0.0000 7.0365 0.0000
```

Computed properties:
symmetry: No. 174
DFT formation energy: 0.01 eV/atom
E: -3.6590 eV per atom

=====

Compound: Ag2Pd7Au
Source: Alexandria via LeMat-Bulk
Functional: PBE
Structure: relaxed

```
10
Lattice="4.2908 -8.0261 0.0000 4.2908 8.0261 0.0000 0.0000 0.0000 2.7342" Properties=species:S:1:pos:R:3 pbc="T T T"
Ag 4.2908 5.1670 0.0000
Ag 4.2908 -5.1670 0.0000
Pd 0.0000 0.0000 0.0000
Pd 2.2884 1.4386 0.0000
Pd 4.2908 2.7858 1.3671
Pd 2.2884 -1.4386 0.0000
Pd 6.2931 1.4386 0.0000
Pd 4.2908 -2.7858 1.3671
Pd 6.2931 -1.4386 0.0000
Au 4.2908 0.0000 1.3671
```

Computed properties:
symmetry: No. 65
DFT formation energy: 0.32 eV/atom
E: -4.2166 eV per atom

=====

Compound: AgPd8Au2
Source: Alexandria via LeMat-Bulk
Functional: PBE
Structure: relaxed

```
11
Lattice="4.0873 -5.4915 0.0000 4.0873 5.4915 0.0000 0.0000 0.0000 4.2161" Properties=species:S:1:pos:R:3 pbc="T T T"
Ag 0.0000 0.0000 0.0000
Pd 1.3848 1.4528 2.1081
Pd 4.0873 2.8617 0.0000
Pd 1.3848 -1.4528 2.1081
Pd 2.7013 0.0000 0.0000
Pd 5.4732 0.0000 0.0000
Pd 6.7897 1.4528 2.1081
Pd 4.0873 -2.8617 0.0000
Pd 6.7897 -1.4528 2.1081
Au 4.0873 1.3507 2.1081
Au 4.0873 -1.3507 2.1081
```

Computed properties:
symmetry: No. 65
DFT formation energy: 0.17 eV/atom
energy above the most stable polymorph in this dataset: 0.29 eV/f.u.
E: -4.4603 eV per atom

=====

Compound: Ag3PdAu8
Source: Alexandria via LeMat-Bulk
Functional: PBE
Structure: relaxed

```
12
Lattice="5.0430 0.0000 0.0000 -0.9046 4.9820 0.0000 -0.0343 -2.5448 8.4615" Properties=species:S:1:pos:R:3 pbc="T T T"
Ag 0.0000 0.0000 0.0000
Ag 0.7892 1.8651 2.1290
Ag 3.3150 0.5721 6.3324
Pd 2.5044 -1.2724 4.2307
Au -0.9171 3.2895 5.6233
Au 0.7800 0.1661 7.7639
Au 0.8097 1.0128 4.9273
Au 2.5084 -0.4272 1.4341
Au 1.5958 2.8644 7.0274
Au 3.2945 1.4243 3.5341
Au 3.3242 2.2711 0.6975
Au 5.0212 -0.8524 2.8382
```

Computed properties:
symmetry: No. 2
DFT formation energy: -0.05 eV/atom
E: -3.3840 eV per atom

=====

Compound: AgPd5Au8
Source: Alexandria via LeMat-Bulk
Functional: PBE
Structure: relaxed

```
14
Lattice="-3.9790 3.9790 4.0279 3.9790 -3.9790 4.0279 3.9790 3.9790 -4.0279" Properties=species:S:1:pos:R:3 pbc="T T T"
Ag 0.0000 0.0000 0.0000
Pd 4.8746 1.5924 -1.3025
Pd 3.9790 0.0000 2.0139
Pd 1.5924 3.0835 1.3025
Pd -0.8955 2.3866 2.7253
Pd 2.3866 0.8955 5.3304
Au 2.5423 0.8957 -0.0318
Au 2.6640 3.4728 -1.3682
Au 3.0833 -1.4368 4.0597
Au 1.3151 0.5062 2.6597
Au 4.4852 2.6640 1.3682
Au 0.8957 5.4158 0.0318
Au -0.5062 1.3151 5.3961
Au 1.4368 3.0833 3.9961
```

Computed properties:
symmetry: No. 82
DFT formation energy: 0.09 eV/atom
E: -3.8455 eV per atom

=====

Compound: Ag2Pd2Au7
Source: Alexandria via LeMat-Bulk
Functional: PBE
Structure: relaxed

```
11
Lattice="6.2671 -4.2146 0.0000 6.2671 4.2146 0.0000 -1.2951 0.0000 3.8356" Properties=species:S:1:pos:R:3 pbc="T T T"
Ag 1.9551 0.0000 0.6645
Ag 9.2840 0.0000 3.1711
Pd 6.2671 2.1983 0.0000
Pd 6.2671 -2.1983 0.0000
Au -0.6475 0.0000 1.9178
Au 3.7827 2.0770 1.2923
Au 3.3862 0.0000 3.2930
Au 7.4564 2.0770 2.5433
Au 3.7827 -2.0770 1.2923
Au 7.8529 0.0000 0.5426
Au 7.4564 -2.0770 2.5433
```

Computed properties:
symmetry: No. 12
DFT formation energy: 0.01 eV/atom
energy above the most stable polymorph in this dataset: 0.00 eV/f.u.
E: -3.5412 eV per atom

=====

Compound: Ag4Pd2Au3
Source: Alexandria via LeMat-Bulk
Functional: PBE
Structure: relaxed

```
9
Lattice="4.6412 -2.0390 0.0000 4.6412 2.0390 0.0000 -2.9765 0.0000 8.2151" Properties=species:S:1:pos:R:3 pbc="T T T"
Ag -0.4931 0.0000 1.3815
Ag 1.2723 0.0000 5.0140
Ag 5.0336 0.0000 3.2011
Ag 6.7991 0.0000 6.8336
Pd 2.2766 0.0000 2.2833
Pd 4.0293 0.0000 5.9317
Au -1.4883 0.0000 4.1075
Au 0.2713 0.0000 7.7410
Au 6.0346 0.0000 0.4740
```

Computed properties:
symmetry: No. 12
DFT formation energy: -0.08 eV/atom
energy above the most stable polymorph in this dataset: 0.00 eV/f.u.
E: -3.5892 eV per atom

=====

Compound: AgPd2Au2
Source: Alexandria via LeMat-Bulk
Functional: PBE
Structure: relaxed

```
5
Lattice="-1.9103 1.9103 6.6232 1.9103 -1.9103 6.6232 1.9103 1.9103 -6.6232" Properties=species:S:1:pos:R:3 pbc="T T T"
Ag 0.0000 0.0000 0.0000
Pd 0.0000 0.0000 5.3232
Pd 0.0000 0.0000 7.9232
Au 1.9103 0.0000 3.3116
Au 0.0000 1.9103 3.3116
```

Computed properties:
symmetry: No. 139
DFT formation energy: 0.25 eV/atom
energy above the most stable polymorph in this dataset: 0.94 eV/f.u.
E: -3.7081 eV per atom

=====

Compound: AgPd2Au3
Source: Alexandria via LeMat-Bulk
Functional: PBE
Structure: relaxed

```
12
Lattice="4.0702 -2.8940 0.0000 4.0702 2.8940 0.0000 -4.0620 0.0000 8.6721" Properties=species:S:1:pos:R:3 pbc="T T T"
Ag 1.0238 2.1713 6.5040
Ag 3.0547 -2.1713 2.1680
Pd -1.0097 0.7237 7.9725
Pd 1.0213 -0.7237 3.6365
Pd 3.0572 0.7237 5.0356
Pd 5.0882 -0.7237 0.6995
Au -1.0128 0.7230 5.0726
Au 1.0182 -0.7230 0.7366
Au 3.0547 0.7222 2.1680
Au 1.0238 -0.7222 6.5040
Au 3.0603 0.7230 7.9355
Au 5.0913 -0.7230 3.5994
```

Computed properties:
symmetry: No. 15
DFT formation energy: -0.09 eV/atom
energy above the most stable polymorph in this dataset: 0.00 eV/f.u.
E: -3.9393 eV per atom